[1]
Material: Zr2AuBr
Method: DFT, PBE-GGA
State: relaxed

Calculated values
For the total magnetization, the calculation gives 0.000 μB per atom. For the polymorph energy (0 for the lowest one), the calculation gives 71 kJ/mol of formula units. Its theoretical density is 9.16 Mg/m³. The energy relative to the elements, uncorrected comes out at -0.317 eV per atom.

Lattice parameters (Å, degrees): 5.4298 5.4298 5.0006 82.15 82.15 34.81
Closest atoms and distances in Å follow each position.
Fractional positions:
Au1 0.4968 0.4968 0.5824  7 Zr 2.79-3.02
Zr1 0.9868 0.9868 0.0941  3 Br 2.85-2.88, 4 Au 2.95-3.02
Zr2 0.7579 0.7579 0.6650  3 Au 2.79-2.94, 4 Br 2.95-3.01
Br1 0.2585 0.2585 0.1584  7 Zr 2.85-3.01

***

[2]
Material: ZrAuBr2
Method: DFT, PBE-GGA
State: relaxed

Calculated values
For the total magnetization, the calculation gives 0.000 μB per atom. For the polymorph energy (0 for the lowest one), the calculation gives 279 kJ/mol of formula units. Its theoretical density is 8.34 Mg/m³. The energy relative to the elements, uncorrected comes out at -0.039 eV per atom.

Lattice parameters (Å, degrees): 3.4613 5.6189 4.5880 90.00 90.00 90.00
Closest atoms and distances in Å follow each position.
Fractional positions:
Zr1 0.5000 0.0000 0.5000  4 Br 2.87
Br1 0.0000 0.0000 0.0000  4 Zr 2.87
Br2 0.5000 0.5000 0.0000  4 Au 2.87
Au1 0.0000 0.5000 0.5000  4 Br 2.87

***

[3]
Material: ZrAuBr2
Method: DFT, PBE-GGA
State: relaxed

Calculated values
For the total magnetization, the calculation gives 0.000 μB per atom. For the polymorph energy (0 for the lowest one), the calculation gives 240 kJ/mol of formula units. Its theoretical density is 8.17 Mg/m³. The energy relative to the elements, uncorrected comes out at -0.140 eV per atom.

Lattice parameters (Å, degrees): 5.7762 5.7762 3.4081 70.66 70.66 106.29
Closest atoms and distances in Å follow each position.
Fractional positions:
Au1 0.0000 0.5000 0.5000  4 Br 2.83
Zr1 0.5000 0.0000 0.5000  4 Br 2.83
Br1 0.5000 0.5000 0.0000  2 Au 2.83, 2 Zr 2.83
Br2 0.0000 0.0000 0.0000  2 Zr 2.83, 2 Au 2.83

***

[4]
Material: ZrAu4Br
Method: DFT, PBE-GGA
State: relaxed

Calculated values
For the total magnetization, the calculation gives 0.164 μB per atom. Its theoretical density is 12.91 Mg/m³. The energy relative to the elements, uncorrected comes out at 0.028 eV per atom.

Lattice parameters (Å, degrees): 5.5869 5.5869 5.5869 60.00 60.00 60.00
Closest atoms and distances in Å follow each position.
Fractional positions:
Au1 0.3752 0.3752 0.8744  6 Au 2.79-2.80
Au2 0.3752 0.8744 0.3752  6 Au 2.79-2.80
Au3 0.8744 0.3752 0.3752  6 Au 2.79-2.80
Au4 0.3752 0.3752 0.3752  6 Au 2.79-2.80
Br1 0.7500 0.7500 0.7500  12 Au 3.28, 4 Zr 3.42
Zr1 0.0000 0.0000 0.0000  12 Au 3.28, 4 Br 3.42

***

[5]
Material: ZrAuBr2
Method: DFT, PBE-GGA
State: relaxed

Calculated values
For the total magnetization, the calculation gives 0.140 μB per atom. For the polymorph energy (0 for the lowest one), the calculation gives 45 kJ/mol of formula units. Its theoretical density is 6.96 Mg/m³. The energy relative to the elements, uncorrected comes out at -0.644 eV per atom.

Lattice parameters (Å, degrees): 9.0446 9.0446 9.0446 23.92 23.92 23.92
Closest atoms and distances in Å follow each position.
Fractional positions:
Br1 0.2270 0.2270 0.2270  3 Zr 2.81
Br2 0.0229 0.0229 0.0229  3 Au 2.82
Zr1 0.4921 0.4921 0.4921  3 Au 2.80, 3 Br 2.81
Au1 0.7580 0.7580 0.7580  3 Zr 2.80, 3 Br 2.82

***

[6]
Material: ZrAuBr3
Method: DFT, PBE-GGA
State: relaxed

Calculated values
For the total magnetization, the calculation gives 0.000 μB per atom. For the polymorph energy (0 for the lowest one), the calculation gives 0 kJ/mol of formula units. Its theoretical density is 5.85 Mg/m³. The energy relative to the elements, uncorrected comes out at -0.396 eV per atom.

Lattice parameters (Å, degrees): 5.3122 5.3122 5.3122 90.00 90.00 90.00
Closest atoms and distances in Å follow each position.
Fractional positions:
Br1 0.0000 0.5000 0.0000  2 Zr 2.66
Br2 0.5000 0.0000 0.0000  2 Zr 2.66
Br3 0.0000 0.0000 0.5000  2 Zr 2.66
Zr1 0.0000 0.0000 0.0000  6 Br 2.66
Au1 0.5000 0.5000 0.5000  12 Br 3.76

***

[7]
Material: ZrAuBr2
Method: DFT, PBE-GGA
State: relaxed

Calculated values
For the total magnetization, the calculation gives 0.225 μB per atom. For the polymorph energy (0 for the lowest one), the calculation gives 264 kJ/mol of formula units. Its theoretical density is 8.28 Mg/m³. The energy relative to the elements, uncorrected comes out at -0.077 eV per atom.

Lattice parameters (Å, degrees): 5.2627 5.2627 5.2627 127.10 127.10 78.08
Closest atoms and distances in Å follow each position.
Fractional positions:
Br1 0.0000 0.0000 0.0000  4 Br 3.11, 4 Au 3.11, 4 Zr 3.31
Br2 0.2500 0.7500 0.5000  4 Br 3.11, 4 Zr 3.11, 4 Au 3.31
Au1 0.7500 0.2500 0.5000  4 Zr 3.11, 8 Br 3.11-3.31
Zr1 0.5000 0.5000 0.0000  4 Au 3.11, 8 Br 3.11-3.31

***

[8]
Material: Zr2AuBr
Method: DFT, PBE-GGA
State: relaxed

Calculated values
For the total magnetization, the calculation gives 0.000 μB per atom. For the polymorph energy (0 for the lowest one), the calculation gives 24 kJ/mol of formula units. Its theoretical density is 7.76 Mg/m³. The energy relative to the elements, uncorrected comes out at -0.440 eV per atom.

Lattice parameters (Å, degrees): 3.2774 3.2775 9.1485 90.00 90.00 90.00
Closest atoms and distances in Å follow each position.
Fractional positions:
Zr1 0.0000 0.0000 0.0044  4 Br 2.94-2.95, 8 Zr 3.22-3.28
Zr2 0.5000 0.5000 0.2488  4 Au 2.91, 4 Zr 3.22
Br1 0.5000 0.5000 0.8058  4 Zr 2.94-2.95, 4 Br 3.28
Au1 0.0000 0.0000 0.4410  4 Zr 2.91

***

[9]
Material: ZrAuBr2
Method: DFT, PBE-GGA
State: relaxed

Calculated values
For the total magnetization, the calculation gives 0.185 μB per atom. For the polymorph energy (0 for the lowest one), the calculation gives 110 kJ/mol of formula units. Its theoretical density is 5.72 Mg/m³. The energy relative to the elements, uncorrected comes out at -0.476 eV per atom.

Lattice parameters (Å, degrees): 9.7358 9.7358 7.4114 48.94 48.94 90.00
Closest atoms and distances in Å follow each position.
Fractional positions:
Zr1 0.5000 0.5000 0.0000  4 Br 2.71, 2 Au 2.75
Zr2 0.2500 0.7500 0.5000  4 Br 2.71, 2 Au 2.75
Br1 0.4748 0.1250 0.2500  2 Zr 2.71
Br2 0.3750 0.5252 0.7500  2 Zr 2.71
Br3 0.2752 0.6250 0.2500  2 Zr 2.71
Br4 0.8750 0.7248 0.7500  2 Zr 2.71
Au1 0.0000 0.0000 0.0000  2 Zr 2.75
Au2 0.7500 0.2500 0.5000  2 Zr 2.75

***

[10]
Material: Zr2AuBr
Method: DFT, PBE-GGA
State: relaxed

Calculated values
For the total magnetization, the calculation gives 0.000 μB per atom. For the polymorph energy (0 for the lowest one), the calculation gives 0 kJ/mol of formula units. Its theoretical density is 7.66 Mg/m³. The energy relative to the elements, uncorrected comes out at -0.501 eV per atom.

Lattice parameters (Å, degrees): 9.8972 9.8972 9.8972 20.03 20.03 20.03
Closest atoms and distances in Å follow each position.
Fractional positions:
Zr1 0.2517 0.2517 0.2517  3 Au 2.85, 3 Zr 3.10
Zr2 0.0001 0.0001 0.0001  3 Br 2.78, 3 Zr 3.10
Br1 0.7334 0.7334 0.7334  3 Zr 2.78
Au1 0.5146 0.5146 0.5146  3 Zr 2.85

***

[11]
Material: ZrAuBr2
Method: DFT, PBE-GGA
State: relaxed

Calculated values
For the total magnetization, the calculation gives 0.070 μB per atom. For the polymorph energy (0 for the lowest one), the calculation gives 125 kJ/mol of formula units. Its theoretical density is 7.14 Mg/m³. The energy relative to the elements, uncorrected comes out at -0.436 eV per atom.

Lattice parameters (Å, degrees): 3.2496 3.2496 9.8620 90.00 90.00 90.00
Closest atoms and distances in Å follow each position.
Fractional positions:
Br1 0.0000 0.0000 0.4204  4 Zr 2.85
Br2 0.0000 0.0000 0.0796  4 Zr 2.85
Au1 0.5000 0.5000 0.7500  4 Au 3.25
Zr1 0.5000 0.5000 0.2500  8 Br 2.85

***

[12]
Material: ZrAuBr2
Method: DFT, PBE-GGA
State: relaxed

Calculated values
For the total magnetization, the calculation gives 0.000 μB per atom. For the polymorph energy (0 for the lowest one), the calculation gives 13 kJ/mol of formula units. Its theoretical density is 6.12 Mg/m³. The energy relative to the elements, uncorrected comes out at -0.727 eV per atom.

Lattice parameters (Å, degrees): 7.9769 7.9769 7.9769 156.09 143.67 43.96
Closest atoms and distances in Å follow each position.
Fractional positions:
Br1 0.6019 0.6019 0.0000  2 Zr 2.74
Br2 0.8981 0.8981 0.0000  2 Zr 2.74
Zr1 0.7500 0.2500 0.5000  4 Br 2.74, 4 Au 2.99
Au1 0.2500 0.7500 0.5000  4 Zr 2.99, 2 Au 3.30, 4 Br 3.31

***

[13]
Material: ZrAuBr2
Method: DFT, PBE-GGA
State: relaxed

Calculated values
For the total magnetization, the calculation gives 0.000 μB per atom. For the polymorph energy (0 for the lowest one), the calculation gives 240 kJ/mol of formula units. Its theoretical density is 8.31 Mg/m³. The energy relative to the elements, uncorrected comes out at -0.139 eV per atom.

Lattice parameters (Å, degrees): 3.4096 5.7368 5.5217 56.01 90.00 90.00
Closest atoms and distances in Å follow each position.
Fractional positions:
Br1 0.0000 0.0000 0.0000  2 Au 2.76
Br2 0.5000 0.5000 0.0000  2 Zr 2.76
Au1 0.0000 0.0000 0.5000  2 Br 2.76
Zr1 0.5000 0.5000 0.5000  2 Br 2.76

***

[14]
Material: Zr2AuBr
Method: DFT, PBE-GGA
State: relaxed

Calculated values
For the total magnetization, the calculation gives 0.000 μB per atom. For the polymorph energy (0 for the lowest one), the calculation gives 85 kJ/mol of formula units. Its theoretical density is 9.30 Mg/m³. The energy relative to the elements, uncorrected comes out at -0.282 eV per atom.

Lattice parameters (Å, degrees): 4.8759 4.8759 4.8759 60.00 60.00 60.00
Closest atoms and distances in Å follow each position.
Fractional positions:
Zr1 0.2500 0.2500 0.2500  4 Au 2.99, 4 Br 2.99
Zr2 0.7500 0.7500 0.7500  4 Au 2.99, 4 Br 2.99
Br1 0.0000 0.0000 0.0000  8 Zr 2.99
Au1 0.5000 0.5000 0.5000  8 Zr 2.99

***

[15]
Material: ZrAuBr2
Method: DFT, PBE-GGA
State: relaxed

Calculated values
For the total magnetization, the calculation gives 0.250 μB per atom. For the polymorph energy (0 for the lowest one), the calculation gives 247 kJ/mol of formula units. Its theoretical density is 8.51 Mg/m³. The energy relative to the elements, uncorrected comes out at -0.120 eV per atom.

Lattice parameters (Å, degrees): 4.9814 4.9814 4.9814 60.00 60.00 60.00
Closest atoms and distances in Å follow each position.
Fractional positions:
Au1 0.5000 0.5000 0.5000  8 Br 3.05
Br1 0.7500 0.7500 0.7500  4 Au 3.05, 4 Zr 3.05
Br2 0.2500 0.2500 0.2500  4 Zr 3.05, 4 Au 3.05
Zr1 0.0000 0.0000 0.0000  8 Br 3.05

***

[16]
Material: Zr2AuBr
Method: DFT, PBE-GGA
State: relaxed

Calculated values
For the total magnetization, the calculation gives 0.000 μB per atom. For the polymorph energy (0 for the lowest one), the calculation gives 184 kJ/mol of formula units. Its theoretical density is 8.89 Mg/m³. The energy relative to the elements, uncorrected comes out at -0.025 eV per atom.

Lattice parameters (Å, degrees): 5.9279 5.9279 5.9279 139.86 139.86 58.06
Closest atoms and distances in Å follow each position.
Fractional positions:
Zr1 0.0000 0.0000 0.0000  4 Au 2.88
Zr2 0.2500 0.7500 0.5000  4 Br 2.88
Au1 0.5000 0.5000 0.0000  4 Zr 2.88
Br1 0.7500 0.2500 0.5000  4 Zr 2.88

***

[17]
Material: ZrAuBr2
Method: DFT, PBE-GGA
State: relaxed

Calculated values
For the total magnetization, the calculation gives 0.000 μB per atom. For the polymorph energy (0 for the lowest one), the calculation gives 0 kJ/mol of formula units. Its theoretical density is 5.79 Mg/m³. The energy relative to the elements, uncorrected comes out at -0.761 eV per atom.

Lattice parameters (Å, degrees): 5.6642 5.6642 7.5337 68.35 68.35 35.19
Closest atoms and distances in Å follow each position.
Fractional positions:
Br1 0.1632 0.1632 0.3443  2 Zr 2.71
Br2 0.0111 0.0111 0.9059  2 Zr 2.71
Au1 0.8108 0.8108 0.6248  2 Zr 2.79
Zr1 0.5150 0.5150 0.6250  4 Br 2.71, 2 Au 2.79

***

[18]
Material: Zr4AuBr
Method: DFT, PBE-GGA
State: relaxed

Calculated values
For the total magnetization, the calculation gives 0.000 μB per atom. Its theoretical density is 7.80 Mg/m³. The energy relative to the elements, uncorrected comes out at 0.377 eV per atom.

Lattice parameters (Å, degrees): 5.7813 5.7813 5.7813 60.00 60.00 60.00
Closest atoms and distances in Å follow each position.
Fractional positions:
Au1 0.7500 0.7500 0.7500  12 Zr 3.39, 4 Br 3.54
Zr1 0.8696 0.3768 0.3768  6 Zr 2.85-2.93
Zr2 0.3768 0.3768 0.3768  6 Zr 2.85-2.93
Zr3 0.3768 0.8696 0.3768  6 Zr 2.85-2.93
Zr4 0.3768 0.3768 0.8696  6 Zr 2.85-2.93
Br1 0.0000 0.0000 0.0000  12 Zr 3.39, 4 Au 3.54

***

[19]
Material: ZrAuBr4
Method: DFT, PBE-GGA
State: relaxed

Calculated values
For the total magnetization, the calculation gives 0.091 μB per atom. Its theoretical density is 6.57 Mg/m³. The energy relative to the elements, uncorrected comes out at 0.680 eV per atom.

Lattice parameters (Å, degrees): 6.0106 6.0106 6.0106 60.00 60.00 60.00
Closest atoms and distances in Å follow each position.
Fractional positions:
Br1 0.8752 0.3749 0.3749  6 Br 3.00-3.01
Br2 0.3749 0.8752 0.3749  6 Br 3.00-3.01
Br3 0.3749 0.3749 0.3749  6 Br 3.00-3.01
Br4 0.3749 0.3749 0.8752  6 Br 3.00-3.01
Zr1 0.7500 0.7500 0.7500  12 Br 3.52, 4 Au 3.68
Au1 0.0000 0.0000 0.0000  12 Br 3.52, 4 Zr 3.68

***

[20]
Material: ZrAuBr2
Method: DFT, PBE-GGA
State: relaxed

Calculated values
For the total magnetization, the calculation gives 0.000 μB per atom. For the polymorph energy (0 for the lowest one), the calculation gives 57 kJ/mol of formula units. Its theoretical density is 7.17 Mg/m³. The energy relative to the elements, uncorrected comes out at -0.613 eV per atom.

Lattice parameters (Å, degrees): 3.5067 3.5067 8.4412 90.00 90.00 90.00
Closest atoms and distances in Å follow each position.
Fractional positions:
Br1 0.0000 0.0000 0.9024  4 Au 2.90, 1 Zr 3.02
Br2 0.5000 0.5000 0.3293  4 Zr 3.07, 1 Au 3.33
Zr1 0.0000 0.0000 0.5447  4 Au 2.90, 5 Br 3.02-3.07
Au1 0.5000 0.5000 0.7236  4 Br 2.90, 4 Zr 2.90